[1]
Co4CuIr | PBE-GGA | optimized geometry

Its space group is F-43m.

Geometry as CIF:
```
data_Co4CuIr
_symmetry_space_group_name_H-M 'P 1'
_symmetry_Int_Tables_number 1
_symmetry_space_group_name_Hall 'P 1'
_cell_length_a 4.673
_cell_length_b 4.673
_cell_length_c 4.673
_cell_angle_alpha 60.00
_cell_angle_beta 60.00
_cell_angle_gamma 60.00
loop_
_atom_site_label
_atom_site_type_symbol
_atom_site_fract_x
_atom_site_fract_y
_atom_site_fract_z
_atom_site_occupancy
Co1 Co 0.625 0.625 0.126 1
Co2 Co 0.625 0.126 0.625 1
Co3 Co 0.625 0.625 0.625 1
Co4 Co 0.126 0.625 0.625 1
Cu1 Cu 0.250 0.250 0.250 1
Ir1 Ir 0.000 0.000 0.000 1
```

[2]
U3Te3S | PBE-GGA | optimized geometry

The energy relative to the elements, uncorrected is -0.634 eV/atom. Its space group is C2/m.

Geometry as CIF:
```
data_U3Te3S
_symmetry_space_group_name_H-M 'P 1'
_symmetry_Int_Tables_number 1
_symmetry_space_group_name_Hall 'P 1'
_cell_length_a 7.511
_cell_length_b 7.511
_cell_length_c 7.691
_cell_angle_alpha 90.16
_cell_angle_beta 90.16
_cell_angle_gamma 109.52
loop_
_atom_site_label
_atom_site_type_symbol
_atom_site_fract_x
_atom_site_fract_y
_atom_site_fract_z
_atom_site_occupancy
U1 U 0.951 0.951 0.147 1
U2 U 0.825 0.515 0.676 1
U3 U 0.515 0.825 0.676 1
U4 U 0.175 0.485 0.324 1
U5 U 0.485 0.175 0.324 1
U6 U 0.049 0.049 0.853 1
Te1 Te 0.634 0.634 0.345 1
Te2 Te 0.149 0.851 0.500 1
Te3 Te 0.851 0.149 0.500 1
Te4 Te 0.239 0.761 0.000 1
Te5 Te 0.761 0.239 0.000 1
Te6 Te 0.366 0.366 0.655 1
S1 S 0.734 0.734 0.900 1
S2 S 0.266 0.266 0.100 1
```

[3]
LiMn2H | PBE-GGA | optimized geometry

Its space group is Fd-3m. The excess energy over the best structure of this formula in the dataset comes out at 0 meV/atom.

Geometry as CIF:
```
data_LiMn2H
_symmetry_space_group_name_H-M 'P 1'
_symmetry_Int_Tables_number 1
_symmetry_space_group_name_Hall 'P 1'
_cell_length_a 5.470
_cell_length_b 5.470
_cell_length_c 5.469
_cell_angle_alpha 59.99
_cell_angle_beta 59.99
_cell_angle_gamma 90.00
loop_
_atom_site_label
_atom_site_type_symbol
_atom_site_fract_x
_atom_site_fract_y
_atom_site_fract_z
_atom_site_occupancy
H1 H 0.500 0.500 0.000 1
H2 H 0.250 0.750 0.500 1
Mn1 Mn 0.375 0.125 0.250 1
Mn2 Mn 0.375 0.625 0.250 1
Mn3 Mn 0.375 0.625 0.750 1
Mn4 Mn 0.875 0.625 0.750 1
Li1 Li 0.000 0.000 0.000 1
Li2 Li 0.750 0.250 0.500 1
```

[4]
SmPuTe2O | PBE-GGA | optimized geometry

The energy relative to the elements, uncorrected is -1.856 eV/atom. Its space group is P4/nmm.

Geometry as CIF:
```
data_SmPuTe2O
_symmetry_space_group_name_H-M 'P 1'
_symmetry_Int_Tables_number 1
_symmetry_space_group_name_Hall 'P 1'
_cell_length_a 4.185
_cell_length_b 4.185
_cell_length_c 15.924
_cell_angle_alpha 90.00
_cell_angle_beta 90.00
_cell_angle_gamma 90.00
loop_
_atom_site_label
_atom_site_type_symbol
_atom_site_fract_x
_atom_site_fract_y
_atom_site_fract_z
_atom_site_occupancy
Sm1 Sm 0.500 0.000 0.136 1
Sm2 Sm 0.000 0.500 0.864 1
Pu1 Pu 0.500 0.000 0.567 1
Pu2 Pu 0.000 0.500 0.433 1
Te1 Te 0.000 0.500 0.677 1
Te2 Te 0.000 0.500 0.083 1
Te3 Te 0.500 0.000 0.917 1
Te4 Te 0.500 0.000 0.323 1
O1 O 0.000 0.000 0.500 1
O2 O 0.500 0.500 0.500 1
```

[5]
TlTeRu2 | PBE-GGA | optimized geometry

The energy relative to the elements, uncorrected is 0.496 eV/atom. Its space group is Fm-3m. The excess energy over the best structure of this formula in the dataset comes out at 122 meV/atom.

Geometry as CIF:
```
data_TlTeRu2
_symmetry_space_group_name_H-M 'P 1'
_symmetry_Int_Tables_number 1
_symmetry_space_group_name_Hall 'P 1'
_cell_length_a 4.666
_cell_length_b 4.666
_cell_length_c 4.666
_cell_angle_alpha 60.00
_cell_angle_beta 60.00
_cell_angle_gamma 60.00
loop_
_atom_site_label
_atom_site_type_symbol
_atom_site_fract_x
_atom_site_fract_y
_atom_site_fract_z
_atom_site_occupancy
Ru1 Ru 0.250 0.250 0.250 1
Ru2 Ru 0.750 0.750 0.750 1
Tl1 Tl 0.500 0.500 0.500 1
Te1 Te 0.000 0.000 0.000 1
```

[6]
Np2NbCoN5 | PBE-GGA | optimized geometry

The energy relative to the elements, uncorrected is -0.821 eV/atom. Its space group is Cmc2_1.

Geometry as CIF:
```
data_Np2NbCoN5
_symmetry_space_group_name_H-M 'P 1'
_symmetry_Int_Tables_number 1
_symmetry_space_group_name_Hall 'P 1'
_cell_length_a 3.190
_cell_length_b 6.569
_cell_length_c 10.053
_cell_angle_alpha 90.00
_cell_angle_beta 90.00
_cell_angle_gamma 104.05
loop_
_atom_site_label
_atom_site_type_symbol
_atom_site_fract_x
_atom_site_fract_y
_atom_site_fract_z
_atom_site_occupancy
Np1 Np 0.857 0.714 0.808 1
Np2 Np 0.105 0.209 0.684 1
Np3 Np 0.143 0.286 0.308 1
Np4 Np 0.895 0.791 0.184 1
Nb1 Nb 0.802 0.603 0.510 1
Nb2 Nb 0.198 0.397 0.010 1
Co1 Co 0.524 0.048 0.957 1
Co2 Co 0.476 0.952 0.457 1
N1 N 0.368 0.736 0.996 1
N2 N 0.677 0.354 0.865 1
N3 N 0.486 0.971 0.775 1
N4 N 0.283 0.566 0.660 1
N5 N 0.953 0.907 0.569 1
N6 N 0.632 0.264 0.496 1
N7 N 0.323 0.646 0.365 1
N8 N 0.514 0.029 0.275 1
N9 N 0.717 0.434 0.160 1
N10 N 0.047 0.093 0.069 1
```

[7]
CaAc2LaCo | PBE-GGA | optimized geometry

Its space group is P4/mmm.

Geometry as CIF:
```
data_CaAc2LaCo
_symmetry_space_group_name_H-M 'P 1'
_symmetry_Int_Tables_number 1
_symmetry_space_group_name_Hall 'P 1'
_cell_length_a 5.437
_cell_length_b 5.835
_cell_length_c 5.835
_cell_angle_alpha 90.00
_cell_angle_beta 90.00
_cell_angle_gamma 90.00
loop_
_atom_site_label
_atom_site_type_symbol
_atom_site_fract_x
_atom_site_fract_y
_atom_site_fract_z
_atom_site_occupancy
Ca1 Ca 0.500 0.500 0.500 1
Ac1 Ac 0.000 0.000 0.500 1
Ac2 Ac 0.000 0.500 0.000 1
La1 La 0.500 0.000 0.000 1
Co1 Co 0.000 0.000 0.000 1
```

[8]
CaHfAl3 | PBE-GGA | optimized geometry

Its space group is Pm-3m. The excess energy over the best structure of this formula in the dataset comes out at 0 meV/atom.

Geometry as CIF:
```
data_CaHfAl3
_symmetry_space_group_name_H-M 'P 1'
_symmetry_Int_Tables_number 1
_symmetry_space_group_name_Hall 'P 1'
_cell_length_a 5.215
_cell_length_b 5.215
_cell_length_c 5.215
_cell_angle_alpha 90.00
_cell_angle_beta 90.00
_cell_angle_gamma 90.00
loop_
_atom_site_label
_atom_site_type_symbol
_atom_site_fract_x
_atom_site_fract_y
_atom_site_fract_z
_atom_site_occupancy
Ca1 Ca 0.500 0.500 0.500 1
Hf1 Hf 0.000 0.000 0.000 1
Al1 Al 0.000 0.500 0.000 1
Al2 Al 0.000 0.000 0.500 1
Al3 Al 0.500 0.000 0.000 1
```

[9]
KAgAs | PBE-GGA | optimized geometry

Its space group is P-1. The excess energy over the best structure of this formula in the dataset comes out at 153 meV/atom.

Geometry as CIF:
```
data_KAgAs
_symmetry_space_group_name_H-M 'P 1'
_symmetry_Int_Tables_number 1
_symmetry_space_group_name_Hall 'P 1'
_cell_length_a 3.708
_cell_length_b 4.355
_cell_length_c 11.751
_cell_angle_alpha 100.58
_cell_angle_beta 108.25
_cell_angle_gamma 90.01
loop_
_atom_site_label
_atom_site_type_symbol
_atom_site_fract_x
_atom_site_fract_y
_atom_site_fract_z
_atom_site_occupancy
K1 K 0.121 0.382 0.184 1
K2 K 0.073 0.608 0.640 1
Ag1 Ag 0.850 0.748 0.916 1
Ag2 Ag 0.342 0.243 0.907 1
As1 As 0.418 0.031 0.483 1
As2 As 0.777 0.959 0.341 1
```

[10]
Zr2UPb | PBE-GGA | optimized geometry

Its space group is P4/mmm. The excess energy over the best structure of this formula in the dataset comes out at 58 meV/atom.

Geometry as CIF:
```
data_Zr2UPb
_symmetry_space_group_name_H-M 'P 1'
_symmetry_Int_Tables_number 1
_symmetry_space_group_name_Hall 'P 1'
_cell_length_a 3.689
_cell_length_b 3.689
_cell_length_c 6.794
_cell_angle_alpha 90.00
_cell_angle_beta 90.00
_cell_angle_gamma 90.00
loop_
_atom_site_label
_atom_site_type_symbol
_atom_site_fract_x
_atom_site_fract_y
_atom_site_fract_z
_atom_site_occupancy
Pb1 Pb 0.500 0.500 0.500 1
U1 U 0.500 0.500 0.000 1
Zr1 Zr 0.000 0.000 0.760 1
Zr2 Zr 0.000 0.000 0.240 1
```

[11]
Ag6Te2ICl2 | PBE-GGA | optimized geometry

The energy relative to the elements, uncorrected is -0.151 eV/atom. Its space group is P-1.

Geometry as CIF:
```
data_Ag6Te2ICl2
_symmetry_space_group_name_H-M 'P 1'
_symmetry_Int_Tables_number 1
_symmetry_space_group_name_Hall 'P 1'
_cell_length_a 8.458
_cell_length_b 8.441
_cell_length_c 8.262
_cell_angle_alpha 127.53
_cell_angle_beta 91.98
_cell_angle_gamma 57.89
loop_
_atom_site_label
_atom_site_type_symbol
_atom_site_fract_x
_atom_site_fract_y
_atom_site_fract_z
_atom_site_occupancy
Ag1 Ag 0.403 0.523 0.864 1
Ag2 Ag 0.929 0.489 0.142 1
Ag3 Ag 0.992 0.999 0.677 1
Ag4 Ag 0.071 0.511 0.858 1
Ag5 Ag 0.008 0.001 0.323 1
Ag6 Ag 0.597 0.477 0.136 1
Te1 Te 0.760 0.470 0.818 1
Te2 Te 0.240 0.530 0.182 1
I1 I 0.500 0.000 0.500 1
Cl1 Cl 0.151 0.667 0.693 1
Cl2 Cl 0.849 0.333 0.307 1
```

[12]
Tb2ScO4 | PBE-GGA | optimized geometry

The energy relative to the elements, uncorrected is -3.208 eV/atom. Its space group is C2/m.

Geometry as CIF:
```
data_Tb2ScO4
_symmetry_space_group_name_H-M 'P 1'
_symmetry_Int_Tables_number 1
_symmetry_space_group_name_Hall 'P 1'
_cell_length_a 3.362
_cell_length_b 5.888
_cell_length_c 6.128
_cell_angle_alpha 121.28
_cell_angle_beta 105.92
_cell_angle_gamma 90.00
loop_
_atom_site_label
_atom_site_type_symbol
_atom_site_fract_x
_atom_site_fract_y
_atom_site_fract_z
_atom_site_occupancy
Tb1 Tb 0.698 0.696 0.395 1
Tb2 Tb 0.302 0.304 0.605 1
Sc1 Sc 0.000 0.000 0.000 1
O1 O 0.879 0.168 0.758 1
O2 O 0.121 0.832 0.242 1
O3 O 0.642 0.261 0.283 1
O4 O 0.358 0.739 0.717 1
```

| no. | E_tot (eV per atom) |
| --- | --- |
| 1 | -6.73 |
| 2 | -7.41 |
| 3 | -5.51 |
| 4 | -7.91 |
| 5 | -5.52 |
| 6 | -10.23 |
| 7 | -4.48 |
| 8 | -4.20 |
| 9 | -2.96 |
| 10 | -7.91 |
| 11 | -2.75 |
| 12 | -8.27 |